1.
This record from Alexandria via LeMat-Bulk describes K2CdC after structural relaxation. The functional is PBE.

Calculated values
The calculated formation energy is 4.9 eV/f.u. The energy relative to the lowest polymorph listed for this composition is 1.93 eV/f.u. Its total energy is -7.41 eV per cell. The size of the total moment comes out at 2.00 μB/cell. The space group is Fm-3m, No. 225.

a = 5.6193 Å, b = 5.6193 Å, c = 5.6193 Å
α = 60.00°, β = 60.00°, γ = 60.00°
Element x y z (fractional)
1 K 0.2500 0.2500 0.2500
2 K 0.7500 0.7500 0.7500
3 Cd 0.0000 0.0000 0.0000
4 C 0.5000 0.5000 0.5000

***

2.
This record from Alexandria via LeMat-Bulk describes KCdC after structural relaxation. The functional is PBE.

Calculated values
The calculated formation energy is 0.8 eV/f.u. The energy relative to the lowest polymorph listed for this composition is 0.13 eV/f.u. Its total energy is -20.86 eV per cell. The size of the total moment comes out at 0.00 μB/cell. The space group is C2/m, No. 12.

a = 7.6522 Å, b = 7.6522 Å, c = 5.6831 Å
α = 111.30°, β = 111.30°, γ = 35.48°
Element x y z (fractional)
1 K 0.1061 0.1061 0.3431
2 K 0.8939 0.8939 0.6569
3 Cd 0.3067 0.3067 0.0304
4 Cd 0.6933 0.6933 0.9696
5 C 0.4607 0.4607 0.0205
6 C 0.5393 0.5393 0.9795

***

3.
This record from Alexandria via LeMat-Bulk describes K3CdC after structural relaxation. The functional is PBE.

Calculated values
The calculated formation energy is 4.2 eV/f.u. The energy relative to the lowest polymorph listed for this composition is 0.00 eV/f.u. Its total energy is -9.24 eV per cell. The size of the total moment comes out at 1.25 μB/cell. The space group is Pm-3m, No. 221.

a = 5.8514 Å, b = 5.8514 Å, c = 5.8514 Å
α = 90.00°, β = 90.00°, γ = 90.00°
Element x y z (fractional)
1 K 0.0000 0.0000 0.5000
2 K 0.0000 0.5000 0.0000
3 K 0.5000 0.0000 0.0000
4 Cd 0.5000 0.5000 0.5000
5 C 0.0000 0.0000 0.0000